DFT (PBE-GGA) results for a relaxed structure of NbTl3Se4.

```
NbTl3Se4
1.0
9.293 0.000 0.000
0.000 9.691 0.000
0.000 0.000 6.615
Nb Tl Se
2 6 8
Direct
0.000 0.208 0.000
0.500 0.792 0.500
0.000 0.893 0.376
0.201 0.662 0.863
0.299 0.338 0.363
0.500 0.107 0.876
0.701 0.338 0.363
0.799 0.662 0.863
0.000 0.214 0.368
0.000 0.966 0.911
0.222 0.324 0.899
0.278 0.676 0.399
0.500 0.034 0.411
0.500 0.786 0.868
0.722 0.676 0.399
0.778 0.324 0.899
```

Calculated values
The value obtained for the uncorrected formation energy is -4.49 eV/f.u. Its symmetry is Pmn2_1.

=====

DFT (PBE-GGA) results for a relaxed structure of AlAgPb.

```
AlAgPb
1.0
3.321 0.000 0.000
1.650 4.640 0.000
1.610 1.828 8.896
Al Ag Pb
2 2 2
Direct
0.022 0.286 0.173
0.978 0.714 0.827
0.337 0.754 0.073
0.663 0.246 0.927
0.328 0.225 0.629
0.672 0.775 0.371
```

Calculated values
For the formation energy, the calculation gives 25 kJ/mol of formula units. Its symmetry is P-1.

=====

DFT (PBE-GGA) results for a relaxed structure of InHgRu2.

```
InHgRu2
1.0
3.247 0.000 0.000
0.000 3.247 0.000
0.000 0.000 6.520
In Hg Ru
1 1 2
Direct
0.000 0.000 0.000
0.000 0.000 0.500
0.500 0.500 0.240
0.500 0.500 0.760
```

Calculated values
The value obtained for the relative energy among the computed polymorphs is 0.184 eV/atom. For the formation energy, the calculation gives 159 kJ/mol of formula units. Its symmetry is P4/mmm.

=====

DFT (PBE-GGA) results for a relaxed structure of YRuSe2.

```
YRuSe2
1.0
0.000 3.415 3.415
3.415 0.000 3.415
3.415 3.415 0.000
Y Ru Se
1 1 2
Direct
0.000 0.000 0.000
0.250 0.250 0.250
0.500 0.500 0.500
0.750 0.750 0.750
```

Calculated values
The value obtained for the relative energy among the computed polymorphs is 0.712 eV/atom. The value obtained for the uncorrected formation energy is -0.37 eV/f.u. Its symmetry is F-43m.

=====

DFT (PBE-GGA) results for a relaxed structure of RbLiCe2Se4.

```
RbLiCe2Se4
1.0
2.175 -7.270 0.000
2.175 7.270 0.000
0.000 0.000 14.931
Rb Li Ce Se
2 2 4 8
Direct
0.108 0.892 0.750
0.892 0.108 0.250
0.166 0.834 0.250
0.834 0.166 0.750
0.368 0.632 0.560
0.368 0.632 0.940
0.632 0.368 0.060
0.632 0.368 0.440
0.000 0.000 0.000
0.000 0.000 0.500
0.261 0.739 0.108
0.261 0.739 0.392
0.424 0.576 0.750
0.576 0.424 0.250
0.739 0.261 0.608
0.739 0.261 0.892
```

Calculated values
The value obtained for the uncorrected formation energy is -13.20 eV/f.u. Its symmetry is Cmcm.

=====

DFT (PBE-GGA) results for a relaxed structure of Pu3Mn2Si4.

```
Pu3Mn2Si4
1.0
5.210 -2.065 0.000
5.210 2.065 0.000
-1.832 0.000 7.576
Pu Mn Si
3 2 4
Direct
0.000 0.000 0.000
0.379 0.379 0.305
0.621 0.621 0.695
0.303 0.303 0.624
0.697 0.697 0.376
0.092 0.092 0.405
0.281 0.281 0.924
0.719 0.719 0.076
0.908 0.908 0.595
```

Calculated values
The value obtained for the uncorrected formation energy is -3.81 eV/f.u. Its symmetry is C2/m.

=====

DFT (PBE-GGA) results for a relaxed structure of Rb3Pu2PaS6.

```
Rb3Pu2PaS6
1.0
3.581 -6.201 0.000
3.581 6.201 0.000
-2.387 0.000 7.685
Rb Pu Pa S
3 2 1 6
Direct
0.000 0.000 0.000
0.331 0.669 0.000
0.669 0.331 0.000
0.167 0.833 0.500
0.833 0.167 0.500
0.500 0.500 0.500
0.113 0.436 0.308
0.241 0.241 0.692
0.436 0.113 0.308
0.564 0.887 0.692
0.759 0.759 0.308
0.887 0.564 0.692
```

Calculated values
The value obtained for the uncorrected formation energy is -18.80 eV/f.u. Its symmetry is C2/m.

=====

DFT (PBE-GGA) results for a relaxed structure of LiTbZrSn.

```
LiTbZrSn
1.0
0.000 3.576 3.576
3.576 0.000 3.576
3.576 3.576 0.000
Li Tb Zr Sn
1 1 1 1
Direct
0.000 0.000 0.000
0.250 0.250 0.250
0.750 0.750 0.750
0.500 0.500 0.500
```

Calculated values
For the formation energy, the calculation gives -106 kJ/mol of formula units. Its symmetry is F-43m.